A PBEsol-optimized structure of Li3B3H16N2. Source: the Alexandria database, functional meta-GGA SCAN. Values from VASP.

Cell and atoms, written as Quantum ESPRESSO input:
```
&SYSTEM
  ibrav = 0, nat = 48, ntyp = 4
/
ATOMIC_SPECIES
Li 6.94 Li.upf
B 10.81 B.upf
H 1.01 H.upf
N 14.01 N.upf
CELL_PARAMETERS angstrom
-1.7714 6.4894 -1.0640
-4.8431 -2.1395 -4.9863
-4.8750 -0.3683 5.8699
ATOMIC_POSITIONS crystal
Li 0.9228 0.8086 0.7397
Li 0.4228 0.1914 0.2603
Li 0.6610 0.2137 0.7795
Li 0.1610 0.7863 0.2205
Li 0.1577 0.4374 0.6778
Li 0.6577 0.5626 0.3222
B 0.0184 0.1358 0.7446
B 0.5184 0.8642 0.2554
B 0.1272 0.6611 0.9172
B 0.6272 0.3389 0.0828
B 0.9747 0.6173 0.4427
B 0.4747 0.3827 0.5573
H 0.9088 0.0833 0.8582
H 0.4088 0.9167 0.1418
H 0.9292 0.2419 0.6551
H 0.4292 0.7581 0.3449
H 0.1603 0.2130 0.8176
H 0.6603 0.7870 0.1824
H 0.0787 0.0044 0.6468
H 0.5787 0.9956 0.3532
H 0.9844 0.5714 0.8572
H 0.4844 0.4286 0.1428
H 0.0669 0.8145 0.9739
H 0.5669 0.1855 0.0261
H 0.2031 0.5771 0.0314
H 0.7031 0.4229 0.9686
H 0.2477 0.6837 0.8008
H 0.7477 0.3163 0.1992
H 0.9687 0.4590 0.4868
H 0.4687 0.5410 0.5132
H 0.8299 0.7030 0.5033
H 0.3299 0.2970 0.4967
H 0.1258 0.6980 0.4911
H 0.6258 0.3020 0.5089
H 0.9612 0.6052 0.2813
H 0.4612 0.3948 0.7187
H 0.5570 0.6907 0.7778
H 0.0570 0.3093 0.2222
H 0.6213 0.8447 0.9370
H 0.1213 0.1553 0.0630
H 0.5428 0.9299 0.5876
H 0.0428 0.0701 0.4124
H 0.3826 0.9562 0.7488
H 0.8826 0.0438 0.2512
N 0.6316 0.8139 0.8029
N 0.1316 0.1861 0.1971
N 0.5313 0.9589 0.7218
N 0.0313 0.0411 0.2782
```

## Properties
- M_tot (μB per formula unit) = 0.0
- mass density (g/cm3) = 0.9
- total DFT energy (no corrections) (eV per atom) = -4.646

---

A PBEsol-optimized structure of CaSe2Cl. Source: the Alexandria database, functional meta-GGA SCAN. Values from VASP.

Cell and atoms, written as Quantum ESPRESSO input:
```
&SYSTEM
  ibrav = 0, nat = 4, ntyp = 3
/
ATOMIC_SPECIES
Ca 40.08 Ca.upf
Se 78.96 Se.upf
Cl 35.45 Cl.upf
CELL_PARAMETERS angstrom
-1.6594 -1.9844 3.4913
3.8496 1.6209 1.5113
-2.5247 4.6504 1.4433
ATOMIC_POSITIONS crystal
Ca 0.0000 0.5000 0.5000
Se 0.2187 0.3617 0.0000
Se 0.7813 0.6383 0.0000
Cl 0.5000 0.0000 0.5000
```

## Properties
- M_tot (μB per formula unit) = 0.0
- mass density (g/cm3) = 3.8
- energy above the lowest structure with this stoichiometry (eV per atom) = 0.000
- raw formation energy (eV/f.u.) = -5.44

---

A PBEsol-optimized structure of Zn2ReSe. Source: the Alexandria database, functional meta-GGA SCAN. Values from VASP.

Cell and atoms, written as Quantum ESPRESSO input:
```
&SYSTEM
  ibrav = 0, nat = 4, ntyp = 3
/
ATOMIC_SPECIES
Re 186.21 Re.upf
Se 78.96 Se.upf
Zn 65.41 Zn.upf
CELL_PARAMETERS angstrom
3.1699 0.0000 0.0000
0.0000 4.3044 0.0000
0.0000 0.0000 4.3600
ATOMIC_POSITIONS crystal
Re 0.5000 0.5000 0.0000
Se 0.0000 0.5000 0.5000
Zn 0.0000 0.0000 0.0000
Zn 0.5000 0.0000 0.5000
```

## Properties
- M_tot (μB per formula unit) = 0.8
- mass density (g/cm3) = 11.1
- energy above the lowest structure with this stoichiometry (eV per atom) = 0.236
- raw formation energy (eV/f.u.) = 2.44

---

A PBEsol-optimized structure of Li3CuF. Source: the Alexandria database, functional meta-GGA SCAN. Values from VASP.

Cell and atoms, written as Quantum ESPRESSO input:
```
&SYSTEM
  ibrav = 0, nat = 5, ntyp = 3
/
ATOMIC_SPECIES
Li 6.94 Li.upf
Cu 63.55 Cu.upf
F 19.00 F.upf
CELL_PARAMETERS angstrom
-2.8424 2.0277 -1.8279
-0.5530 -3.0118 -2.4810
-2.6734 -1.5329 2.4567
ATOMIC_POSITIONS crystal
Li 0.0000 0.5000 0.0000
Li 0.0000 0.0000 0.5000
Li 0.5000 0.0000 0.0000
Cu 0.5000 0.5000 0.5000
F 0.0000 0.0000 0.0000
```

## Properties
- M_tot (μB per formula unit) = 0.0
- mass density (g/cm3) = 2.8
- raw formation energy (eV/f.u.) = -5.28

---

Please write out number 3 again, unchanged.
A PBEsol-optimized structure of Zn2ReSe. Source: the Alexandria database, functional meta-GGA SCAN. Values from VASP.

Cell and atoms, written as Quantum ESPRESSO input:
```
&SYSTEM
  ibrav = 0, nat = 4, ntyp = 3
/
ATOMIC_SPECIES
Re 186.21 Re.upf
Se 78.96 Se.upf
Zn 65.41 Zn.upf
CELL_PARAMETERS angstrom
3.1699 0.0000 0.0000
0.0000 4.3044 0.0000
0.0000 0.0000 4.3600
ATOMIC_POSITIONS crystal
Re 0.5000 0.5000 0.0000
Se 0.0000 0.5000 0.5000
Zn 0.0000 0.0000 0.0000
Zn 0.5000 0.0000 0.5000
```

## Properties
- M_tot (μB per formula unit) = 0.8
- mass density (g/cm3) = 11.1
- energy above the lowest structure with this stoichiometry (eV per atom) = 0.236
- raw formation energy (eV/f.u.) = 2.44